(1)
Here is an optimized crystal structure of CdCuPd2 from Alexandria. Energies are from GGA-PBE.

Volume ... 15.72 Å³/atom
Final energy ... -4.0957 eV/atom

Lattice parameters (Å, degrees): 4.2197 4.2197 3.5316 90.00 90.00 90.00
Space group P4/mmm (No. 123)
Symmetry-distinct sites (fractional):
Cd 0.0000 0.0000 0.0000 [1 per cell]
Cu 0.5000 0.5000 0.0000 [1 per cell]
Pd 0.0000 0.5000 0.5000 [2 per cell]


(2)
Here is an optimized crystal structure of Cd6CuPd12 from Alexandria. Energies are from GGA-PBE.

Volume ... 17.19 Å³/atom
Final energy ... -3.9732 eV/atom

Lattice parameters (Å, degrees): 9.9147 9.9147 11.5124 90.00 90.00 120.00
Space group R-3 (No. 148, hexagonal axes)
Symmetry-distinct sites (fractional):
Cd 0.0220 0.5937 0.2147 [18 per cell]
Cu 0.0000 0.0000 0.5000 [3 per cell]
Pd 0.0420 0.8605 0.3207 [18 per cell]
Pd 0.0564 0.1978 0.9043 [18 per cell]


(3)
Here is an optimized crystal structure of CdCu6Pd12 from Alexandria. Energies are from GGA-PBE.

Volume ... 14.68 Å³/atom
Offset from the most stable computed form ... 0 meV/atom

Lattice parameters (Å, degrees): 11.9857 11.9857 6.7266 90.00 90.00 120.00
Space group R-3 (No. 148, hexagonal axes)
Symmetry-distinct sites (fractional):
Cd 0.0000 0.0000 0.0000 [3 per cell]
Cu 0.0336 0.2798 0.3288 [18 per cell]
Pd 0.0126 0.1425 0.6614 [18 per cell]
Pd 0.0646 0.5596 0.6712 [18 per cell]


(4)
Here is an optimized crystal structure of CdCuPd2 from Alexandria. Energies are from GGA-PBE.

Volume ... 15.85 Å³/atom
Final energy ... -3.9785 eV/atom

Lattice parameters (Å, degrees): 2.9027 2.9027 26.0651 90.00 90.00 120.00
Space group R3m (No. 160, hexagonal axes)
Symmetry-distinct sites (fractional):
Cd 0.0000 0.0000 0.0000 [3 per cell]
Cu 0.0000 0.0000 0.1669 [3 per cell]
Pd 0.0000 0.0000 0.5784 [3 per cell]
Pd 0.0000 0.0000 0.7551 [3 per cell]


(5)
Here is an optimized crystal structure of Cd3CuPd12 from Alexandria. Energies are from GGA-PBE.

Volume ... 16.04 Å³/atom
Final energy ... -4.5069 eV/atom

Lattice parameters (Å, degrees): 4.0139 4.0139 15.9308 90.00 90.00 90.00
Space group P4/mmm (No. 123)
Symmetry-distinct sites (fractional):
Cd 0.0000 0.0000 0.0000 [1 per cell]
Cd 0.0000 0.0000 0.2555 [2 per cell]
Cu 0.0000 0.0000 0.5000 [1 per cell]
Pd 0.0000 0.5000 0.1281 [4 per cell]
Pd 0.0000 0.5000 0.3838 [4 per cell]
Pd 0.5000 0.5000 0.0000 [1 per cell]
Pd 0.5000 0.5000 0.2566 [2 per cell]
Pd 0.5000 0.5000 0.5000 [1 per cell]


(6)
Here is an optimized crystal structure of CdCu3Pd from Alexandria. Energies are from GGA-PBE.

Volume ... 20.49 Å³/atom
Offset from the most stable computed form ... 0 meV/atom

Lattice parameters (Å, degrees): 4.6795 4.6795 4.6795 90.00 90.00 90.00
Space group Pm-3m (No. 221)
Symmetry-distinct sites (fractional):
Cd 0.0000 0.0000 0.0000 [1 per cell]
Cu 0.0000 0.5000 0.5000 [3 per cell]
Pd 0.5000 0.5000 0.5000 [1 per cell]


(7)
Here is an optimized crystal structure of Cd2CuPd2 from Alexandria. Energies are from GGA-PBE.

Volume ... 17.99 Å³/atom
Offset from the most stable computed form ... 0 meV/atom

Lattice parameters (Å, degrees): 6.6014 6.6014 4.1292 90.00 90.00 90.00
Space group P4/mbm (No. 127)
Symmetry-distinct sites (fractional):
Cd 0.1641 0.3359 0.0000 [4 per cell]
Cu 0.0000 0.0000 0.5000 [2 per cell]
Pd 0.1426 0.6426 0.5000 [4 per cell]


(8)
Here is an optimized crystal structure of CdCuPd3 from Alexandria. Energies are from GGA-PBE.

Volume ... 16.20 Å³/atom
Offset from the most stable computed form ... 116 meV/atom

Lattice parameters (Å, degrees): 4.5841 5.5833 6.7251 90.00 109.75 90.00
Space group P2_1/m (No. 11)
Symmetry-distinct sites (fractional):
Cd 0.0019 0.2500 0.0073 [2 per cell]
Cu 0.3740 0.7500 0.7456 [2 per cell]
Pd 0.1907 0.0000 0.3810 [4 per cell]
Pd 0.3850 0.2500 0.7713 [2 per cell]


(9)
Here is an optimized crystal structure of Cd2CuPd5 from Alexandria. Energies are from GGA-PBE.

Volume ... 16.22 Å³/atom
Final energy ... -4.2088 eV/atom

Lattice parameters (Å, degrees): 4.5642 4.5642 12.4553 90.00 90.00 90.00
Space group I4/mmm (No. 139)
Symmetry-distinct sites (fractional):
Cd 0.0000 0.0000 0.2500 [4 per cell]
Cu 0.0000 0.0000 0.0000 [2 per cell]
Pd 0.0000 0.0000 0.5000 [2 per cell]
Pd 0.0000 0.5000 0.1178 [8 per cell]


(10)
Here is an optimized crystal structure of CdCuPd6 from Alexandria. Energies are from GGA-PBE.

Volume ... 15.60 Å³/atom
Final energy ... -4.6575 eV/atom

Lattice parameters (Å, degrees): 3.9719 3.9719 7.9090 90.00 90.00 90.00
Space group P4/mmm (No. 123)
Symmetry-distinct sites (fractional):
Cd 0.0000 0.0000 0.0000 [1 per cell]
Cu 0.0000 0.0000 0.5000 [1 per cell]
Pd 0.0000 0.5000 0.2615 [4 per cell]
Pd 0.5000 0.5000 0.0000 [1 per cell]
Pd 0.5000 0.5000 0.5000 [1 per cell]


(11)
Here is an optimized crystal structure of Cd6CuPd2 from Alexandria. Energies are from GGA-PBE.

Volume ... 21.99 Å³/atom
Offset from the most stable computed form ... 64 meV/atom

Lattice parameters (Å, degrees): 13.6414 6.6175 4.6514 90.00 109.49 90.00
Space group C2/m (No. 12)
Symmetry-distinct sites (fractional):
Cd 0.0000 0.2285 0.0000 [4 per cell]
Cd 0.1651 0.2625 0.6656 [8 per cell]
Cu 0.0000 0.0000 0.5000 [2 per cell]
Pd 0.1654 0.5000 0.1658 [4 per cell]


(12)
Here is an optimized crystal structure of CdCu4Pd7 from Alexandria. Energies are from GGA-PBE.

Volume ... 14.77 Å³/atom
Offset from the most stable computed form ... 0 meV/atom

Lattice parameters (Å, degrees): 4.8024 5.4883 7.2478 78.19 71.80 89.64
Space group P-1 (No. 2)
Symmetry-distinct sites (fractional):
Cd 0.0000 0.0000 0.0000 [1 per cell]
Cu 0.1672 0.4170 0.3317 [2 per cell]
Cu 0.3416 0.8288 0.6615 [2 per cell]
Pd 0.0000 0.5000 0.0000 [1 per cell]
Pd 0.1738 0.9150 0.3431 [2 per cell]
Pd 0.3256 0.3374 0.6575 [2 per cell]
Pd 0.4986 0.7458 0.9971 [2 per cell]


(13)
Here is an optimized crystal structure of Cd6CuPd2 from Alexandria. Energies are from GGA-PBE.

Volume ... 18.69 Å³/atom
Offset from the most stable computed form ... 0 meV/atom

Lattice parameters (Å, degrees): 9.2205 4.2184 8.9923 90.00 105.84 90.00
Space group C2/m (No. 12)
Symmetry-distinct sites (fractional):
Cd 0.0016 0.0000 0.3123 [4 per cell]
Cd 0.1630 0.5000 0.9009 [4 per cell]
Cd 0.1683 0.5000 0.5613 [4 per cell]
Cu 0.0000 0.0000 0.0000 [2 per cell]
Pd 0.1701 0.5000 0.2199 [4 per cell]


(14)
Here is an optimized crystal structure of CdCu2Pd8 from Alexandria. Energies are from GGA-PBE.

Volume ... 15.76 Å³/atom
Offset from the most stable computed form ... 120 meV/atom

Lattice parameters (Å, degrees): 14.2051 5.2116 4.8991 90.00 107.05 90.00
Space group C2/m (No. 12)
Symmetry-distinct sites (fractional):
Cd 0.0000 0.0000 0.0000 [2 per cell]
Cu 0.2409 0.5000 0.3910 [4 per cell]
Pd 0.0907 0.5000 0.9746 [4 per cell]
Pd 0.0977 0.2502 0.5037 [8 per cell]
Pd 0.2059 0.0000 0.0684 [4 per cell]


(15)
Here is an optimized crystal structure of CdCuPd14 from Alexandria. Energies are from GGA-PBE.

Volume ... 15.53 Å³/atom
Final energy ... -4.9136 eV/atom

Lattice parameters (Å, degrees): 9.2122 5.5787 9.6704 90.00 90.00 90.00
Space group Amm2 (No. 38)
Symmetry-distinct sites (fractional):
Cd 0.0000 0.0000 0.0000 [2 per cell]
Cu 0.0000 0.0000 0.4994 [2 per cell]
Pd 0.0000 0.2496 0.2498 [4 per cell]
Pd 0.2458 0.0000 0.6633 [4 per cell]
Pd 0.2485 0.2474 0.4147 [8 per cell]
Pd 0.2520 0.0000 0.1654 [4 per cell]
Pd 0.5000 0.0000 0.3307 [2 per cell]
Pd 0.5000 0.0000 0.8300 [2 per cell]
Pd 0.5000 0.2491 0.5803 [4 per cell]


(16)
Here is an optimized crystal structure of CdCuPd4 from Alexandria. Energies are from GGA-PBE.

Volume ... 16.27 Å³/atom
Offset from the most stable computed form ... 107 meV/atom

Lattice parameters (Å, degrees): 8.8265 2.7837 8.8651 90.00 116.33 90.00
Space group C2/m (No. 12)
Symmetry-distinct sites (fractional):
Cd 0.0000 0.0000 0.0000 [2 per cell]
Cu 0.0000 0.5000 0.5000 [2 per cell]
Pd 0.1538 0.5000 0.8312 [4 per cell]
Pd 0.1551 0.0000 0.3529 [4 per cell]


(17)
Here is an optimized crystal structure of Cd5CuPd4 from Alexandria. Energies are from GGA-PBE.

Volume ... 17.43 Å³/atom
Final energy ... -3.2493 eV/atom

Lattice parameters (Å, degrees): 3.2819 3.2819 16.1861 90.00 90.00 90.00
Space group P4/mmm (No. 123)
Symmetry-distinct sites (fractional):
Cd 0.0000 0.0000 0.0000 [1 per cell]
Cd 0.0000 0.0000 0.2019 [2 per cell]
Cd 0.0000 0.0000 0.4040 [2 per cell]
Cu 0.5000 0.5000 0.5000 [1 per cell]
Pd 0.5000 0.5000 0.1004 [2 per cell]
Pd 0.5000 0.5000 0.3029 [2 per cell]


(18)
Here is an optimized crystal structure of CdCu3Pd4 from Alexandria. Energies are from GGA-PBE.

Volume ... 14.73 Å³/atom
Final energy ... -4.4349 eV/atom

Lattice parameters (Å, degrees): 4.3440 4.3440 6.2449 90.00 90.00 90.00
Space group P4/mmm (No. 123)
Symmetry-distinct sites (fractional):
Cd 0.0000 0.0000 0.0000 [1 per cell]
Cu 0.0000 0.0000 0.5000 [1 per cell]
Cu 0.5000 0.5000 0.0000 [1 per cell]
Cu 0.5000 0.5000 0.5000 [1 per cell]
Pd 0.0000 0.5000 0.2645 [4 per cell]


(19)
Here is an optimized crystal structure of CdCu2Pd5 from Alexandria. Energies are from GGA-PBE.

Volume ... 15.54 Å³/atom
Offset from the most stable computed form ... 62 meV/atom

Lattice parameters (Å, degrees): 6.7285 6.7285 10.9808 90.00 90.00 90.00
Space group I4/mcm (No. 140)
Symmetry-distinct sites (fractional):
Cd 0.0000 0.0000 0.2500 [4 per cell]
Cu 0.1426 0.3574 0.0000 [8 per cell]
Pd 0.0000 0.0000 0.0000 [4 per cell]
Pd 0.1492 0.3508 0.3468 [16 per cell]


(20)
Here is an optimized crystal structure of CdCu5Pd6 from Alexandria. Energies are from GGA-PBE.

Volume ... 14.40 Å³/atom
Final energy ... -4.5459 eV/atom

Lattice parameters (Å, degrees): 4.3245 12.9760 6.1606 90.00 90.00 90.00
Space group Cmmm (No. 65)
Symmetry-distinct sites (fractional):
Cd 0.0000 0.0000 0.0000 [2 per cell]
Cu 0.0000 0.0000 0.5000 [2 per cell]
Cu 0.0000 0.3335 0.0000 [4 per cell]
Cu 0.0000 0.3352 0.5000 [4 per cell]
Pd 0.0000 0.1718 0.2568 [8 per cell]
Pd 0.0000 0.5000 0.2639 [4 per cell]